BaEuCr4O12 | Alexandria via LeMat-Bulk | PBE with a Hubbard U | relaxed; mass density = 5.11 g/cm³; space group = P4/mmm (123); final energy = -129.52 eV/f.u.
1.0
5.4469 0.0000 0.0000
0.0000 5.4469 0.0000
0.0000 0.0000 7.5435
Ba Eu Cr O
1 1 4 12
Cartesian
0.0000 0.0000 0.0000
2.7234 2.7234 3.7717
0.0000 2.7234 1.8931
0.0000 2.7234 5.6503
2.7234 0.0000 1.8931
2.7234 0.0000 5.6503
0.0000 2.7234 0.0000
0.0000 2.7234 3.7717
1.4060 1.4060 1.9820
1.4060 1.4060 5.5615
1.4060 4.0409 1.9820
1.4060 4.0409 5.5615
2.7234 0.0000 0.0000
2.7234 0.0000 3.7717
4.0409 1.4060 1.9820
4.0409 1.4060 5.5615
4.0409 4.0409 1.9820
4.0409 4.0409 5.5615